# LiHf2CoTe | the Alexandria database | PBE-GGA | optimized geometry
# V: 128.5 Å³ per cell
# E_tot: -5.51 eV per atom
data_LiHf2CoTe
_symmetry_space_group_name_H-M 'P 4/m m m'
_symmetry_Int_Tables_number 123
_symmetry_space_group_name_Hall '-P 4 2'
_cell_length_a 5.302
_cell_length_b 5.302
_cell_length_c 4.570
_cell_angle_alpha 90.00
_cell_angle_beta 90.00
_cell_angle_gamma 90.00
loop_
_atom_site_label
_atom_site_type_symbol
_atom_site_fract_x
_atom_site_fract_y
_atom_site_fract_z
_atom_site_occupancy
Li1 Li 0.000 0.000 0.000 1
Hf1 Hf 0.000 0.500 0.500 1
Co1 Co 0.500 0.500 0.000 1
Te1 Te 0.500 0.500 0.500 1

# NiMo2Os | the Alexandria database | PBE-GGA | optimized geometry
# V: 115.4 Å³ per cell
# energy of formation from the pure elements: 100 meV/atom
# E_tot: -9.57 eV per atom
data_NiMo2Os
_symmetry_space_group_name_H-M 'C 1 m 1'
_symmetry_Int_Tables_number 8
_cell_length_a 8.913
_cell_length_b 2.797
_cell_length_c 4.708
_cell_angle_alpha 90.00
_cell_angle_beta 100.51
_cell_angle_gamma 90.00
loop_
_symmetry_equiv_pos_as_xyz
'x,y,z'
'x,-y,z'
'x+1/2,y+1/2,z'
'x+1/2,-y+1/2,z'
loop_
_atom_site_label
_atom_site_type_symbol
_atom_site_fract_x
_atom_site_fract_y
_atom_site_fract_z
_atom_site_occupancy
Ni1 Ni 0.000 0.000 0.000 1
Mo1 Mo 0.007 0.500 0.505 1
Mo2 Mo 0.244 0.500 0.208 1
Os1 Os 0.258 0.000 0.735 1

# RbBeOs2I | the Alexandria database | PBE-GGA | optimized geometry
# V: 163.4 Å³ per cell
# E_tot: -3.28 eV per atom
data_RbBeOs2I
_symmetry_space_group_name_H-M 'P 4/m m m'
_symmetry_Int_Tables_number 123
_symmetry_space_group_name_Hall '-P 4 2'
_cell_length_a 4.965
_cell_length_b 4.965
_cell_length_c 6.628
_cell_angle_alpha 90.00
_cell_angle_beta 90.00
_cell_angle_gamma 90.00
loop_
_atom_site_label
_atom_site_type_symbol
_atom_site_fract_x
_atom_site_fract_y
_atom_site_fract_z
_atom_site_occupancy
Rb1 Rb 0.000 0.000 0.000 1
Be1 Be 0.500 0.500 0.000 1
Os1 Os 0.000 0.500 0.500 1
I1 I 0.000 0.000 0.500 1

# SrPa2SnS8 | the Alexandria database | PBE-GGA | optimized geometry
# V: 324.8 Å³ per cell
# E_tot: -6.06 eV per atom
data_SrPa2SnS8
_symmetry_space_group_name_H-M 'P 1 2/m 1'
_symmetry_Int_Tables_number 10
_cell_length_a 6.149
_cell_length_b 8.345
_cell_length_c 6.338
_cell_angle_alpha 90.00
_cell_angle_beta 92.97
_cell_angle_gamma 90.00
loop_
_symmetry_equiv_pos_as_xyz
'x,y,z'
'-x,-y,-z'
'-x,y,-z'
'x,-y,z'
loop_
_atom_site_label
_atom_site_type_symbol
_atom_site_fract_x
_atom_site_fract_y
_atom_site_fract_z
_atom_site_occupancy
Sr1 Sr 0.000 0.000 0.000 1
Pa1 Pa 0.500 0.254 0.500 1
Sn1 Sn 0.000 0.500 0.000 1
S1 S 0.243 0.280 0.159 1
S2 S 0.270 0.500 0.646 1
S3 S 0.291 0.000 0.642 1

# KRbHg3 | the Alexandria database | PBE-GGA | optimized geometry
# V: 257.5 Å³ per cell
# energy of formation from the pure elements: -16 meV/atom
# E_tot: -0.61 eV per atom
data_KRbHg3
_symmetry_space_group_name_H-M 'P m -3 m'
_symmetry_Int_Tables_number 221
_symmetry_space_group_name_Hall '-P 4 2 3'
_cell_length_a 6.362
_cell_length_b 6.362
_cell_length_c 6.362
_cell_angle_alpha 90.00
_cell_angle_beta 90.00
_cell_angle_gamma 90.00
loop_
_atom_site_label
_atom_site_type_symbol
_atom_site_fract_x
_atom_site_fract_y
_atom_site_fract_z
_atom_site_occupancy
K1 K 0.000 0.000 0.000 1
Rb1 Rb 0.500 0.500 0.500 1
Hg1 Hg 0.000 0.000 0.500 1

# Th6Co2NiC3 | the Alexandria database | PBE-GGA | optimized geometry
# V: 492.7 Å³ per cell
# energy of formation from the pure elements: -191 meV/atom
# E_tot: -7.87 eV per atom
data_Th6Co2NiC3
_symmetry_space_group_name_H-M 'C 1 2/m 1'
_symmetry_Int_Tables_number 12
_cell_length_a 17.287
_cell_length_b 3.749
_cell_length_c 8.016
_cell_angle_alpha 90.00
_cell_angle_beta 108.49
_cell_angle_gamma 90.00
loop_
_symmetry_equiv_pos_as_xyz
'x,y,z'
'-x,-y,-z'
'-x,y,-z'
'x,-y,z'
'x+1/2,y+1/2,z'
'-x+1/2,-y+1/2,-z'
'-x+1/2,y+1/2,-z'
'x+1/2,-y+1/2,z'
loop_
_atom_site_label
_atom_site_type_symbol
_atom_site_fract_x
_atom_site_fract_y
_atom_site_fract_z
_atom_site_occupancy
Th1 Th 0.005 0.000 0.234 1
Th2 Th 0.163 0.500 0.093 1
Th3 Th 0.173 0.500 0.573 1
Co1 Co 0.164 0.000 0.829 1
Ni1 Ni 0.000 0.500 0.500 1
C1 C 0.000 0.500 0.000 1
C2 C 0.166 0.000 0.333 1

# NaAl2AgW | the Alexandria database | PBE-GGA | optimized geometry
# V: 120.9 Å³ per cell
# energy of formation from the pure elements: 1288 meV/atom
# E_tot: -3.63 eV per atom
data_NaAl2AgW
_symmetry_space_group_name_H-M 'P 4/m m m'
_symmetry_Int_Tables_number 123
_symmetry_space_group_name_Hall '-P 4 2'
_cell_length_a 4.807
_cell_length_b 4.807
_cell_length_c 5.231
_cell_angle_alpha 90.00
_cell_angle_beta 90.00
_cell_angle_gamma 90.00
loop_
_atom_site_label
_atom_site_type_symbol
_atom_site_fract_x
_atom_site_fract_y
_atom_site_fract_z
_atom_site_occupancy
Na1 Na 0.000 0.000 0.000 1
Al1 Al 0.000 0.500 0.500 1
Ag1 Ag 0.500 0.500 0.500 1
W1 W 0.500 0.500 0.000 1

# AsPb3 | the Alexandria database | PBE-GGA | optimized geometry
# V: 115.4 Å³ per cell
# energy of formation from the pure elements: 112 meV/atom
# E_tot: -3.83 eV per atom
data_AsPb3
_symmetry_space_group_name_H-M 'P m -3 m'
_symmetry_Int_Tables_number 221
_symmetry_space_group_name_Hall '-P 4 2 3'
_cell_length_a 4.868
_cell_length_b 4.868
_cell_length_c 4.868
_cell_angle_alpha 90.00
_cell_angle_beta 90.00
_cell_angle_gamma 90.00
loop_
_atom_site_label
_atom_site_type_symbol
_atom_site_fract_x
_atom_site_fract_y
_atom_site_fract_z
_atom_site_occupancy
As1 As 0.000 0.000 0.000 1
Pb1 Pb 0.000 0.500 0.500 1